No. 1
4
Lattice="3.151 0.000 0.000 0.000 3.151 0.000 0.000 0.000 8.481" Properties=species:S:1:pos:R:3 comment="HfZrTlAu (PBE-GGA, relaxed)" de_polymorph_mev_per_atom=0 vol_a3_per_atom=21.05 total_magnetization_mub_per_atom=0.000 formation_energy_kj_per_mol_atoms=-21.6 pbc="T T T"
Hf 0.000 0.000 0.000
Zr 0.000 0.000 4.506
Tl 1.576 1.576 2.250
Au 1.576 1.576 6.552


No. 2
16
Lattice="6.986 0.000 0.000 0.000 6.986 0.000 0.000 0.000 6.986" Properties=species:S:1:pos:R:3 comment="HfZrTlAu (PBE-GGA, relaxed)" de_polymorph_mev_per_atom=75 vol_a3_per_atom=21.31 total_magnetization_mub_per_atom=0.000 formation_energy_kj_per_mol_atoms=-14.3 pbc="T T T"
Hf 0.000 0.000 0.000
Hf 0.000 3.493 3.493
Hf 3.493 0.000 3.493
Hf 3.493 3.493 0.000
Zr 0.000 0.000 3.493
Zr 0.000 3.493 0.000
Zr 3.493 0.000 0.000
Zr 3.493 3.493 3.493
Tl 1.747 1.747 1.747
Tl 1.747 5.240 5.240
Tl 5.240 1.747 5.240
Tl 5.240 5.240 1.747
Au 1.747 1.747 5.240
Au 1.747 5.240 1.747
Au 5.240 1.747 1.747
Au 5.240 5.240 5.240


No. 3
6
Lattice="3.368 0.000 0.000 0.000 3.368 0.000 0.000 0.000 11.915" Properties=species:S:1:pos:R:3 comment="TmHfAu (PBE-GGA, relaxed)" de_polymorph_mev_per_atom=0 vol_a3_per_atom=22.53 total_magnetization_mub_per_atom=0.000 formation_energy_kj_per_mol_atoms=-38.5 pbc="T T T"
Tm 0.000 0.000 0.000
Tm 1.684 1.684 5.958
Hf 0.000 0.000 8.162
Hf 1.684 1.684 2.204
Au 0.000 0.000 3.897
Au 1.684 1.684 9.855


No. 4
6
Lattice="3.637 0.000 0.000 0.000 3.637 0.000 0.000 0.000 8.885" Properties=species:S:1:pos:R:3 comment="TmHfAu4 (PBE-GGA, relaxed)" vol_a3_per_atom=19.59 total_magnetization_mub_per_atom=0.000 formation_energy_kj_per_mol_atoms=-70.1 pbc="T T T"
Tm 0.000 0.000 0.000
Hf 1.818 1.818 4.442
Au 0.000 0.000 3.015
Au 0.000 0.000 5.869
Au 1.818 1.818 1.523
Au 1.818 1.818 7.361


No. 5
12
Lattice="7.488 0.000 0.000 0.000 7.488 0.000 0.000 0.000 5.492" Properties=species:S:1:pos:R:3 comment="TmHfAu (PBE-GGA, relaxed)" de_polymorph_mev_per_atom=191 vol_a3_per_atom=25.66 total_magnetization_mub_per_atom=0.000 formation_energy_kj_per_mol_atoms=-20.0 pbc="T T T"
Tm 0.000 1.890 0.000
Tm 0.000 5.597 0.000
Tm 1.890 0.000 2.746
Tm 5.597 0.000 2.746
Hf 2.358 3.744 2.746
Hf 3.744 2.358 0.000
Hf 3.744 5.129 0.000
Hf 5.129 3.744 2.746
Au 0.000 2.268 2.746
Au 0.000 5.219 2.746
Au 2.268 0.000 0.000
Au 5.219 0.000 0.000


No. 6
16
Lattice="6.899 0.000 0.000 0.000 6.899 0.000 0.000 0.000 6.899" Properties=species:S:1:pos:R:3 comment="TmHfZnAu (PBE-GGA, relaxed)" vol_a3_per_atom=20.52 total_magnetization_mub_per_atom=0.189 formation_energy_kj_per_mol_atoms=-36.4 pbc="T T T"
Tm 0.000 0.000 0.000
Tm 0.000 3.450 3.450
Tm 3.450 0.000 3.450
Tm 3.450 3.450 0.000
Hf 0.000 0.000 3.450
Hf 0.000 3.450 0.000
Hf 3.450 0.000 0.000
Hf 3.450 3.450 3.450
Zn 1.725 1.725 1.725
Zn 1.725 5.174 5.174
Zn 5.174 1.725 5.174
Zn 5.174 5.174 1.725
Au 1.725 1.725 5.174
Au 1.725 5.174 1.725
Au 5.174 1.725 1.725
Au 5.174 5.174 5.174